(1)
Entry from the Alexandria database: TlFeNO2 after structural relaxation (GGA-PBEsol).

## Properties
raw total energy: -4.918 eV/atom
Fermi-level density of states: 0.61 states/eV per atom

Cell and atoms, written as POSCAR:
```
TlFeNO2
1.0
4.149 0.000 0.000
0.000 4.149 0.000
0.000 0.000 4.160
Tl Fe N O
1 1 1 2
Direct
0.000 0.000 0.000
0.500 0.500 0.500
0.000 0.000 0.500
0.000 0.500 0.000
0.500 0.000 0.000
```

(2)
Entry from the Alexandria database: TiBeN2F after structural relaxation (GGA-PBEsol).

## Properties
raw total energy: -6.994 eV/atom
Fermi-level density of states: 0.29 states/eV per atom

Cell and atoms, written as POSCAR:
```
TiBeN2F
1.0
3.507 0.000 0.000
0.000 3.507 0.000
0.000 0.000 3.244
Ti Be N F
1 1 2 1
Direct
0.000 0.000 0.000
0.500 0.500 0.500
0.000 0.500 0.500
0.500 0.000 0.500
0.500 0.500 0.000
```